# 1
The following is a DFT calculation (PBE) of a relaxed structure of Al2CrBr.

a = 3.0052 Å, b = 4.4448 Å, c = 12.0083 Å
α = 90.00°, β = 90.00°, γ = 90.00°
With the nearest neighbours (Å) after each atom.
Space group Immm (No. 71)
Symmetry-distinct sites (fractional):
Al (0.0000, 0.0000, 0.2043) (multiplicity 4)  2 Cr 2.88, 6 Al 2.90-3.01
Cr (0.0000, 0.5000, 0.5000) (multiplicity 2)  4 Br 2.68, 4 Al 2.88
Br (0.0000, 0.5000, 0.0000) (multiplicity 2)  4 Cr 2.68

***

# 2
The following is a DFT calculation (PBE) of a relaxed structure of AlCrBr.

a = 6.8542 Å, b = 6.8542 Å, c = 6.8542 Å
α = 90.00°, β = 90.00°, γ = 90.00°
With the nearest neighbours (Å) after each atom.
Space group F-43m (No. 216)
Symmetry-distinct sites (fractional):
Al (0.0000, 0.0000, 0.0000) (multiplicity 4)  4 Cr 2.97, 4 Br 2.97
Cr (0.2500, 0.2500, 0.2500) (multiplicity 4)  4 Al 2.97
Br (0.2500, 0.2500, 0.7500) (multiplicity 4)  4 Al 2.97

***

# 3
The following is a DFT calculation (PBE) of a relaxed structure of Al2CrBr.

a = 3.0136 Å, b = 3.0136 Å, c = 29.9947 Å
α = 90.00°, β = 90.00°, γ = 120.00°
With the nearest neighbours (Å) after each atom.
Space group R3m (No. 160, hexagonal axes)
Symmetry-distinct sites (fractional):
Al (0.0000, 0.0000, 0.0000) (multiplicity 3)  9 Al 2.89-3.01
Al (0.0000, 0.0000, 0.2563) (multiplicity 3)  3 Cr 2.66, 3 Al 2.89
Cr (0.0000, 0.0000, 0.5226) (multiplicity 3)  3 Br 2.41, 3 Al 2.66
Br (0.0000, 0.0000, 0.8001) (multiplicity 3)  3 Cr 2.41

***

# 4
The following is a DFT calculation (PBE) of a relaxed structure of Al2CrBr.

a = 6.4888 Å, b = 6.4888 Å, c = 6.4888 Å
α = 90.00°, β = 90.00°, γ = 90.00°
With the nearest neighbours (Å) after each atom.
Space group Fm-3m (No. 225)
Symmetry-distinct sites (fractional):
Al (0.2500, 0.2500, 0.2500) (multiplicity 8)  4 Cr 2.81, 4 Br 2.81
Cr (0.0000, 0.0000, 0.0000) (multiplicity 4)  8 Al 2.81
Br (0.0000, 0.0000, 0.5000) (multiplicity 4)  8 Al 2.81

***

# 5
The following is a DFT calculation (PBE) of a relaxed structure of AlCrBr2.

a = 7.6730 Å, b = 8.2415 Å, c = 3.7473 Å
α = 90.00°, β = 118.09°, γ = 90.00°
With the nearest neighbours (Å) after each atom.
Space group C2/m (No. 12)
Symmetry-distinct sites (fractional):
Al (0.0000, 0.0000, 0.0000) (multiplicity 2)  4 Br 2.84
Cr (0.0000, 0.5000, 0.0000) (multiplicity 2)  4 Br 2.84
Br (0.2500, 0.2500, 0.5000) (multiplicity 4)  2 Cr 2.84, 2 Al 2.84

***

# 6
The following is a DFT calculation (PBE) of a relaxed structure of AlCrBr2.

a = 10.1523 Å, b = 3.6536 Å, c = 7.4753 Å
α = 90.00°, β = 111.86°, γ = 90.00°
With the nearest neighbours (Å) after each atom.
Space group Cm (No. 8)
Symmetry-distinct sites (fractional):
Al (0.0000, 0.0000, 0.0000) (multiplicity 2)  2 Br 2.59, 1 Cr 2.66
Cr (0.2620, 0.0000, 0.0001) (multiplicity 2)  4 Br 2.65, 1 Al 2.66
Br (0.2467, 0.5000, 0.7358) (multiplicity 2)  1 Al 2.59, 2 Cr 2.65
Br (0.3917, 0.5000, 0.2643) (multiplicity 2)  1 Al 2.59, 2 Cr 2.65

***

# 7
The following is a DFT calculation (PBE) of a relaxed structure of AlCrBr2.

a = 7.3019 Å, b = 7.3019 Å, c = 7.3019 Å
α = 90.00°, β = 90.00°, γ = 90.00°
With the nearest neighbours (Å) after each atom.
Space group F-43m (No. 216)
Symmetry-distinct sites (fractional):
Al (0.0000, 0.0000, 0.0000) (multiplicity 4)  4 Cr 3.16, 4 Br 3.16
Cr (0.2500, 0.2500, 0.7500) (multiplicity 4)  4 Al 3.16, 4 Br 3.16
Br (0.0000, 0.0000, 0.5000) (multiplicity 4)  4 Cr 3.16, 4 Br 3.16
Br (0.2500, 0.2500, 0.2500) (multiplicity 4)  4 Br 3.16, 4 Al 3.16

***

# 8
The following is a DFT calculation (PBE) of a relaxed structure of Al3CrBr.

a = 5.1620 Å, b = 5.1620 Å, c = 5.1620 Å
α = 90.00°, β = 90.00°, γ = 90.00°
With the nearest neighbours (Å) after each atom.
Space group Pm-3m (No. 221)
Symmetry-distinct sites (fractional):
Al (0.0000, 0.0000, 0.5000) (multiplicity 3)  2 Br 2.58
Cr (0.5000, 0.5000, 0.5000) (multiplicity 1)  12 Al 3.65
Br (0.0000, 0.0000, 0.0000) (multiplicity 1)  6 Al 2.58

***

Summary of energy in eV/cell
-34.91 -50.76 -54.21 -60.01 -32.47 -34.62 -60.56 -16.71
(order as listed above)
Summary of density in Mg/m³
3.85 3.28 3.92 4.52 3.79 3.08 4.07 2.57
(order as listed above)